No. 1
Material: SrIn2Ir
Method: DFT, PBE-GGA
State: optimized geometry

Lattice parameters (Å, degrees): 4.5976 4.5976 17.2238 90.00 90.00 120.00
Space group R-3m (No. 166, hexagonal axes)
Asymmetric unit:
1 Sr 0.0000 0.0000 0.0000 (multiplicity 3)
2 In 0.0000 0.0000 0.2111 (multiplicity 6)
3 Ir 0.0000 0.0000 0.5000 (multiplicity 3)

Calculated total energy ... -0.157 hartree per atom

No. 2
Material: Sr2InIr
Method: DFT, PBE-GGA
State: optimized geometry

Lattice parameters (Å, degrees): 3.6612 3.6612 9.0529 90.00 90.00 90.00
Space group P4mm (No. 99)
Asymmetric unit:
1 Sr 0.0000 0.0000 0.0000 (multiplicity 1)
2 Sr 0.5000 0.5000 0.4048 (multiplicity 1)
3 In 0.0000 0.0000 0.6511 (multiplicity 1)
4 Ir 0.5000 0.5000 0.7799 (multiplicity 1)

Calculated total energy ... -0.141 hartree per atom

No. 3
Material: SrIn2Ir
Method: DFT, PBE-GGA
State: optimized geometry

Lattice parameters (Å, degrees): 5.4580 5.4580 17.5108 90.00 90.00 90.00
Space group I-42d (No. 122)
Asymmetric unit:
1 Sr 0.0000 0.0000 0.0000 (multiplicity 4)
2 In 0.0746 0.2500 0.6250 (multiplicity 8)
3 Ir 0.0000 0.0000 0.5000 (multiplicity 4)

Calculated total energy ... -0.145 hartree per atom

No. 4
Material: SrIn6Ir
Method: DFT, PBE-GGA
State: optimized geometry

Lattice parameters (Å, degrees): 4.6233 4.6233 9.8813 90.00 90.00 90.00
Space group P4/mmm (No. 123)
Asymmetric unit:
1 Sr 0.0000 0.0000 0.0000 (multiplicity 1)
2 In 0.0000 0.5000 0.3420 (multiplicity 4)
3 In 0.5000 0.5000 0.1431 (multiplicity 2)
4 Ir 0.0000 0.0000 0.5000 (multiplicity 1)

Calculated total energy ... -0.132 hartree per atom
Energy above the most stable polymorph in this dataset ... 0 meV per atom

No. 5
Material: Sr8In2Ir
Method: DFT, PBE-GGA
State: optimized geometry

Lattice parameters (Å, degrees): 19.9998 5.8194 7.6300 90.00 108.33 90.00
Space group C2/m (No. 12)
Asymmetric unit:
1 Sr 0.0225 0.0000 0.2964 (multiplicity 4)
2 Sr 0.0920 0.5000 0.9079 (multiplicity 4)
3 Sr 0.1461 0.5000 0.4489 (multiplicity 4)
4 Sr 0.2112 0.0000 0.7912 (multiplicity 4)
5 In 0.1810 0.0000 0.2106 (multiplicity 4)
6 Ir 0.0000 0.5000 0.5000 (multiplicity 2)

Calculated total energy ... -0.100 hartree per atom

No. 6
Material: SrIn2Ir
Method: DFT, PBE-GGA
State: optimized geometry

Lattice parameters (Å, degrees): 4.6705 4.6705 16.9843 90.00 90.00 120.00
Space group R3m (No. 160, hexagonal axes)
Asymmetric unit:
1 Sr 0.0000 0.0000 0.0000 (multiplicity 3)
2 In 0.0000 0.0000 0.2059 (multiplicity 3)
3 In 0.0000 0.0000 0.4546 (multiplicity 3)
4 Ir 0.0000 0.0000 0.8153 (multiplicity 3)

Calculated total energy ... -0.159 hartree per atom

No. 7
Material: SrInIr2
Method: DFT, PBE-GGA
State: optimized geometry

Lattice parameters (Å, degrees): 4.9871 3.0789 5.5075 90.00 112.01 90.00
Space group P2/m (No. 10)
Asymmetric unit:
1 Sr 0.0000 0.0000 0.0000 (multiplicity 1)
2 In 0.0000 0.5000 0.5000 (multiplicity 1)
3 Ir 0.5000 0.0000 0.5000 (multiplicity 1)
4 Ir 0.5000 0.5000 0.0000 (multiplicity 1)

Calculated total energy ... -0.192 hartree per atom

No. 8
Material: Sr3In7Ir4
Method: DFT, PBE-GGA
State: optimized geometry

Lattice parameters (Å, degrees): 17.1146 4.5584 10.2452 90.00 123.85 90.00
Space group C2/m (No. 12)
Asymmetric unit:
1 Sr 0.0000 0.0000 0.0000 (multiplicity 2)
2 Sr 0.1908 0.5000 0.7020 (multiplicity 4)
3 In 0.0000 0.0000 0.5000 (multiplicity 2)
4 In 0.0036 0.5000 0.2780 (multiplicity 4)
5 In 0.1659 0.0000 0.4272 (multiplicity 4)
6 In 0.1863 0.5000 0.0319 (multiplicity 4)
7 Ir 0.1135 0.0000 0.8263 (multiplicity 4)
8 Ir 0.1631 0.5000 0.2796 (multiplicity 4)

Calculated total energy ... -0.168 hartree per atom

No. 9
Material: Sr2InIr
Method: DFT, PBE-GGA
State: optimized geometry

Lattice parameters (Å, degrees): 4.6727 4.5456 6.2708 90.00 111.80 90.00
Space group Pm (No. 6)
Asymmetric unit:
1 Sr 0.0000 0.0000 0.0000 (multiplicity 1)
2 Sr 0.2849 0.5000 0.5707 (multiplicity 1)
3 In 0.7005 0.0000 0.4016 (multiplicity 1)
4 Ir 0.5781 0.5000 0.1587 (multiplicity 1)

Calculated total energy ... -0.147 hartree per atom

No. 10
Material: Sr2InTeIr
Method: DFT, PBE-GGA
State: optimized geometry

Lattice parameters (Å, degrees): 5.7589 5.7589 5.1197 90.00 90.00 90.00
Space group P4/mmm (No. 123)
Asymmetric unit:
1 Sr 0.0000 0.5000 0.0000 (multiplicity 2)
2 In 0.0000 0.0000 0.5000 (multiplicity 1)
3 Te 0.5000 0.5000 0.5000 (multiplicity 1)
4 Ir 0.0000 0.0000 0.0000 (multiplicity 1)

Calculated total energy ... -0.156 hartree per atom
Formation energy from raw total energies ... -0.6258 eV/atom

No. 11
Material: Sr2TlInIr
Method: DFT, PBE-GGA
State: optimized geometry

Lattice parameters (Å, degrees): 5.7983 5.7983 5.2639 90.00 90.00 90.00
Space group P4/mmm (No. 123)
Asymmetric unit:
1 Sr 0.0000 0.5000 0.0000 (multiplicity 2)
2 Tl 0.0000 0.0000 0.5000 (multiplicity 1)
3 In 0.5000 0.5000 0.5000 (multiplicity 1)
4 Ir 0.0000 0.0000 0.0000 (multiplicity 1)

Calculated total energy ... -0.131 hartree per atom
Energy above the most stable polymorph in this dataset ... 100 meV per atom

No. 12
Material: Sr2TlInIr
Method: DFT, PBE-GGA
State: optimized geometry

Lattice parameters (Å, degrees): 5.8168 5.8168 5.1800 90.00 90.00 90.00
Space group P4/mmm (No. 123)
Asymmetric unit:
1 Sr 0.0000 0.5000 0.0000 (multiplicity 2)
2 Tl 0.0000 0.0000 0.5000 (multiplicity 1)
3 In 0.5000 0.5000 0.5000 (multiplicity 1)
4 Ir 0.5000 0.5000 0.0000 (multiplicity 1)

Calculated total energy ... -0.135 hartree per atom
Energy above the most stable polymorph in this dataset ... 0 meV per atom